# 1
# TlZnPd2 PBE-GGA optimized geometry
data_TlZnPd2
_chemical_formula_sum 'Tl4 Zn4 Pd8'
_space_group_name_H-M_alt 'I -4 2 d'
_space_group_IT_number 122
_space_group_name_Hall 'I -4 2bw'
_cell_length_a 4.1030
_cell_length_b 4.1030
_cell_length_c 18.1863
_cell_angle_alpha 90.00
_cell_angle_beta 90.00
_cell_angle_gamma 90.00
loop_
_atom_site_label
_atom_site_fract_x
_atom_site_fract_y
_atom_site_fract_z
Tl1 0.0000 0.0000 0.0000
Zn1 0.0000 0.0000 0.5000
Pd1 0.2260 0.2500 0.6250
# ΔE_f   -0.004 eV per atom


# 2
# TlZn2Pd2 PBE-GGA optimized geometry
data_TlZn2Pd2
_chemical_formula_sum 'Tl2 Zn4 Pd4'
_space_group_name_H-M_alt 'I 4/m m m'
_space_group_IT_number 139
_space_group_name_Hall '-I 4 2'
_cell_length_a 3.6746
_cell_length_b 3.6746
_cell_length_c 13.1425
_cell_angle_alpha 90.00
_cell_angle_beta 90.00
_cell_angle_gamma 90.00
loop_
_atom_site_label
_atom_site_fract_x
_atom_site_fract_y
_atom_site_fract_z
Tl1 0.0000 0.0000 0.0000
Zn1 0.0000 0.5000 0.2500
Pd1 0.0000 0.0000 0.3935
# ΔE_f   -0.230 eV per atom
# E above lowest polymorph   70 meV per atom


# 3
# TlZn2Pd8 PBE-GGA optimized geometry
data_TlZn2Pd8
_chemical_formula_sum 'Tl2 Zn4 Pd16'
_space_group_name_H-M_alt 'C 1 2/m 1'
_space_group_IT_number 12
_space_group_name_Hall '-C 2y'
_cell_length_a 14.0751
_cell_length_b 4.0761
_cell_length_c 6.2887
_cell_angle_alpha 90.00
_cell_angle_beta 106.94
_cell_angle_gamma 90.00
loop_
_atom_site_label
_atom_site_fract_x
_atom_site_fract_y
_atom_site_fract_z
Tl1 0.0000 0.0000 0.0000
Zn1 0.2228 0.5000 0.6503
Pd1 0.0448 0.5000 0.7245
Pd2 0.1011 0.0000 0.4697
Pd3 0.1491 0.5000 0.2103
Pd4 0.1824 0.0000 0.9213
# ΔE_f   -0.299 eV per atom
# E above lowest polymorph   0 meV per atom


# 4
# TlZnPd6 PBE-GGA optimized geometry
data_TlZnPd6
_chemical_formula_sum 'Tl2 Zn2 Pd12'
_space_group_name_H-M_alt 'A m m 2'
_space_group_IT_number 38
_space_group_name_Hall 'A 2 -2'
_cell_length_a 4.5914
_cell_length_b 5.6997
_cell_length_c 9.8351
_cell_angle_alpha 90.00
_cell_angle_beta 90.00
_cell_angle_gamma 90.00
loop_
_atom_site_label
_atom_site_fract_x
_atom_site_fract_y
_atom_site_fract_z
Tl1 0.0000 0.0000 0.0000
Zn1 0.5000 0.0000 0.3331
Pd1 0.0000 0.0000 0.4986
Pd2 0.0000 0.2464 0.2514
Pd3 0.5000 0.0000 0.8290
Pd4 0.5000 0.2452 0.5841
# ΔE_f   -0.221 eV per atom
# E above lowest polymorph   10 meV per atom


Sequential N(E_F) output: 3.97, 2.91, 11.00, 20.69 states/eV/cell
Sequential total magnetic moment output: 0.000, 0.000, 0.000, 0.000 μB per atom